Record 1
Computed, not measured: a relaxed structure of Sm2MnAl4Pt3 at the PBE level of DFT.

Values from the calculation:
Uncorrected energy = -0.4472 Ry/atom
Volume = 188.5 Å³ per cell
Calculated formation energy = -0.9147 eV/atom

Structure (CIF):
```
data_Sm2MnAl4Pt3
_chemical_formula_sum 'Sm2 Mn1 Al4 Pt3'
_symmetry_space_group_name_H-M 'P -4 m 2'
_symmetry_Int_Tables_number 115
_symmetry_space_group_name_Hall 'P -4 -2'
_cell_length_a 4.175
_cell_length_b 4.175
_cell_length_c 10.812
_cell_angle_alpha 90.00
_cell_angle_beta 90.00
_cell_angle_gamma 90.00
loop_
_atom_site_label
_atom_site_type_symbol
_atom_site_fract_x
_atom_site_fract_y
_atom_site_fract_z
Sm1 Sm 0.000 0.500 0.248
Mn1 Mn 0.500 0.500 0.000
Al1 Al 0.000 0.000 0.500
Al2 Al 0.000 0.500 0.867
Al3 Al 0.500 0.500 0.500
Pt1 Pt 0.000 0.000 0.000
Pt2 Pt 0.000 0.500 0.634
```


Record 2
Computed, not measured: a relaxed structure of MnAlTcPt at the PBE level of DFT.

Values from the calculation:
Uncorrected energy = -0.5739 Ry/atom
Volume = 224.9 Å³ per cell
Calculated formation energy = -0.4789 eV/atom

Structure (CIF):
```
data_MnAlTcPt
_chemical_formula_sum 'Mn4 Al4 Tc4 Pt4'
_symmetry_space_group_name_H-M 'F -4 3 m'
_symmetry_Int_Tables_number 216
_symmetry_space_group_name_Hall 'F -4 2 3'
_cell_length_a 6.081
_cell_length_b 6.081
_cell_length_c 6.081
_cell_angle_alpha 90.00
_cell_angle_beta 90.00
_cell_angle_gamma 90.00
loop_
_atom_site_label
_atom_site_type_symbol
_atom_site_fract_x
_atom_site_fract_y
_atom_site_fract_z
Mn1 Mn 0.000 0.000 0.000
Al1 Al 0.000 0.000 0.500
Tc1 Tc 0.250 0.250 0.250
Pt1 Pt 0.250 0.250 0.750
```


Record 3
Computed, not measured: a relaxed structure of Th2MnAl4Pt3 at the PBE level of DFT.

Values from the calculation:
Uncorrected energy = -0.4870 Ry/atom
Volume = 191.2 Å³ per cell
Calculated formation energy = -0.9164 eV/atom

Structure (CIF):
```
data_Th2MnAl4Pt3
_chemical_formula_sum 'Th2 Mn1 Al4 Pt3'
_symmetry_space_group_name_H-M 'P -4 m 2'
_symmetry_Int_Tables_number 115
_symmetry_space_group_name_Hall 'P -4 -2'
_cell_length_a 4.248
_cell_length_b 4.248
_cell_length_c 10.599
_cell_angle_alpha 90.00
_cell_angle_beta 90.00
_cell_angle_gamma 90.00
loop_
_atom_site_label
_atom_site_type_symbol
_atom_site_fract_x
_atom_site_fract_y
_atom_site_fract_z
Th1 Th 0.000 0.500 0.247
Mn1 Mn 0.500 0.500 0.000
Al1 Al 0.000 0.000 0.500
Al2 Al 0.000 0.500 0.869
Al3 Al 0.500 0.500 0.500
Pt1 Pt 0.000 0.000 0.000
Pt2 Pt 0.000 0.500 0.634
```


Record 4
Computed, not measured: a relaxed structure of Y2MnAl3Pt4 at the PBE level of DFT.

Values from the calculation:
Uncorrected energy = -0.4952 Ry/atom
Volume = 184.6 Å³ per cell
Calculated formation energy = -0.9884 eV/atom

Structure (CIF):
```
data_Y2MnAl3Pt4
_chemical_formula_sum 'Y2 Mn1 Al3 Pt4'
_symmetry_space_group_name_H-M 'P -4 m 2'
_symmetry_Int_Tables_number 115
_symmetry_space_group_name_Hall 'P -4 -2'
_cell_length_a 4.102
_cell_length_b 4.102
_cell_length_c 10.971
_cell_angle_alpha 90.00
_cell_angle_beta 90.00
_cell_angle_gamma 90.00
loop_
_atom_site_label
_atom_site_type_symbol
_atom_site_fract_x
_atom_site_fract_y
_atom_site_fract_z
Y1 Y 0.000 0.500 0.248
Mn1 Mn 0.500 0.500 0.000
Al1 Al 0.000 0.000 0.000
Al2 Al 0.000 0.500 0.632
Pt1 Pt 0.000 0.000 0.500
Pt2 Pt 0.000 0.500 0.856
Pt3 Pt 0.500 0.500 0.500
```


Record 5
Computed, not measured: a relaxed structure of PuMn2Al at the PBE level of DFT.

Values from the calculation:
Uncorrected energy = -0.6767 Ry/atom
Volume = 60.5 Å³ per cell
Calculated formation energy = -0.1042 eV/atom

Structure (CIF):
```
data_PuMn2Al
_chemical_formula_sum 'Pu1 Mn2 Al1'
_symmetry_space_group_name_H-M 'P 4/m m m'
_symmetry_Int_Tables_number 123
_symmetry_space_group_name_Hall '-P 4 2'
_cell_length_a 4.240
_cell_length_b 4.240
_cell_length_c 3.363
_cell_angle_alpha 90.00
_cell_angle_beta 90.00
_cell_angle_gamma 90.00
loop_
_atom_site_label
_atom_site_type_symbol
_atom_site_fract_x
_atom_site_fract_y
_atom_site_fract_z
Pu1 Pu 0.000 0.000 0.000
Mn1 Mn 0.000 0.500 0.500
Al1 Al 0.500 0.500 0.000
```


Record 6
Computed, not measured: a relaxed structure of PuMn2Al at the PBE level of DFT.

Values from the calculation:
Uncorrected energy = -0.6711 Ry/atom
Volume = 65.0 Å³ per cell
Calculated formation energy = -0.0273 eV/atom

Structure (CIF):
```
data_PuMn2Al
_chemical_formula_sum 'Pu1 Mn2 Al1'
_symmetry_space_group_name_H-M 'P 4/m m m'
_symmetry_Int_Tables_number 123
_symmetry_space_group_name_Hall '-P 4 2'
_cell_length_a 3.018
_cell_length_b 3.018
_cell_length_c 7.140
_cell_angle_alpha 90.00
_cell_angle_beta 90.00
_cell_angle_gamma 90.00
loop_
_atom_site_label
_atom_site_type_symbol
_atom_site_fract_x
_atom_site_fract_y
_atom_site_fract_z
Pu1 Pu 0.000 0.000 0.000
Mn1 Mn 0.500 0.500 0.285
Al1 Al 0.000 0.000 0.500
```


Record 7
Computed, not measured: a relaxed structure of PuMnAl2 at the PBE level of DFT.

Values from the calculation:
Uncorrected energy = -0.5836 Ry/atom
Volume = 67.3 Å³ per cell
Calculated formation energy = -0.1937 eV/atom

Structure (CIF):
```
data_PuMnAl2
_chemical_formula_sum 'Pu1 Mn1 Al2'
_symmetry_space_group_name_H-M 'P 4/m m m'
_symmetry_Int_Tables_number 123
_symmetry_space_group_name_Hall '-P 4 2'
_cell_length_a 2.898
_cell_length_b 2.898
_cell_length_c 8.013
_cell_angle_alpha 90.00
_cell_angle_beta 90.00
_cell_angle_gamma 90.00
loop_
_atom_site_label
_atom_site_type_symbol
_atom_site_fract_x
_atom_site_fract_y
_atom_site_fract_z
Pu1 Pu 0.000 0.000 0.000
Mn1 Mn 0.000 0.000 0.500
Al1 Al 0.500 0.500 0.299
```


Record 8
Computed, not measured: a relaxed structure of Pu2Mn2Al at the PBE level of DFT.

Values from the calculation:
Uncorrected energy = -0.7448 Ry/atom
Volume = 349.4 Å³ per cell
Calculated formation energy = 0.0150 eV/atom

Structure (CIF):
```
data_Pu2Mn2Al
_chemical_formula_sum 'Pu8 Mn8 Al4'
_symmetry_space_group_name_H-M 'C m c 21'
_symmetry_Int_Tables_number 36
_symmetry_space_group_name_Hall 'C 2c -2'
_cell_length_a 4.532
_cell_length_b 14.162
_cell_length_c 5.445
_cell_angle_alpha 90.00
_cell_angle_beta 90.00
_cell_angle_gamma 90.00
loop_
_atom_site_label
_atom_site_type_symbol
_atom_site_fract_x
_atom_site_fract_y
_atom_site_fract_z
Pu1 Pu 0.000 0.009 0.000
Pu2 Pu 0.000 0.190 0.960
Mn1 Mn 0.000 0.201 0.469
Mn2 Mn 0.000 0.372 0.236
Al1 Al 0.000 0.390 0.755
```


Record 9
Computed, not measured: a relaxed structure of PuMn4Al at the PBE level of DFT.

Values from the calculation:
Uncorrected energy = -0.6652 Ry/atom
Volume = 331.0 Å³ per cell
Calculated formation energy = 0.0748 eV/atom

Structure (CIF):
```
data_PuMn4Al
_chemical_formula_sum 'Pu4 Mn16 Al4'
_symmetry_space_group_name_H-M 'F -4 3 m'
_symmetry_Int_Tables_number 216
_symmetry_space_group_name_Hall 'F -4 2 3'
_cell_length_a 6.917
_cell_length_b 6.917
_cell_length_c 6.917
_cell_angle_alpha 90.00
_cell_angle_beta 90.00
_cell_angle_gamma 90.00
loop_
_atom_site_label
_atom_site_type_symbol
_atom_site_fract_x
_atom_site_fract_y
_atom_site_fract_z
Pu1 Pu 0.000 0.000 0.000
Mn1 Mn 0.124 0.124 0.376
Al1 Al 0.250 0.250 0.750
```


Record 10
Computed, not measured: a relaxed structure of PuMnAl11 at the PBE level of DFT.

Values from the calculation:
Uncorrected energy = -0.3775 Ry/atom
Volume = 432.5 Å³ per cell
Calculated formation energy = -0.1613 eV/atom

Structure (CIF):
```
data_PuMnAl11
_chemical_formula_sum 'Pu2 Mn2 Al22'
_symmetry_space_group_name_H-M 'C 1 2/m 1'
_symmetry_Int_Tables_number 12
_symmetry_space_group_name_Hall '-C 2y'
_cell_length_a 5.202
_cell_length_b 12.657
_cell_length_c 7.016
_cell_angle_alpha 90.00
_cell_angle_beta 110.56
_cell_angle_gamma 90.00
loop_
_atom_site_label
_atom_site_type_symbol
_atom_site_fract_x
_atom_site_fract_y
_atom_site_fract_z
Pu1 Pu 0.000 0.000 0.000
Mn1 Mn 0.000 0.500 0.500
Al1 Al 0.000 0.000 0.500
Al2 Al 0.104 0.394 0.222
Al3 Al 0.197 0.171 0.361
Al4 Al 0.250 0.250 0.000
```


Record 11
Computed, not measured: a relaxed structure of PuMnAl2 at the PBE level of DFT.

Values from the calculation:
Uncorrected energy = -0.5701 Ry/atom
Volume = 197.7 Å³ per cell
Calculated formation energy = -0.0100 eV/atom

Structure (CIF):
```
data_PuMnAl2
_chemical_formula_sum 'Pu3 Mn3 Al6'
_symmetry_space_group_name_H-M 'R -3 m'
_symmetry_Int_Tables_number 166
_symmetry_space_group_name_Hall '-R 3 2"'
_cell_length_a 2.8245
_cell_length_b 2.8245
_cell_length_c 28.6144
_cell_angle_alpha 90.00
_cell_angle_beta 90.00
_cell_angle_gamma 120.00
loop_
_atom_site_label
_atom_site_type_symbol
_atom_site_fract_x
_atom_site_fract_y
_atom_site_fract_z
Pu1 Pu 0.0000 0.0000 0.0000
Mn1 Mn 0.0000 0.0000 0.5000
Al1 Al 0.0000 0.0000 0.2382
```


Record 12
Computed, not measured: a relaxed structure of PuMn4Al8 at the PBE level of DFT.

Values from the calculation:
Uncorrected energy = -0.4770 Ry/atom
Volume = 399.3 Å³ per cell
Calculated formation energy = -0.2632 eV/atom

Structure (CIF):
```
data_PuMn4Al8
_chemical_formula_sum 'Pu2 Mn8 Al16'
_symmetry_space_group_name_H-M 'I 4/m m m'
_symmetry_Int_Tables_number 139
_symmetry_space_group_name_Hall '-I 4 2'
_cell_length_a 8.817
_cell_length_b 8.817
_cell_length_c 5.137
_cell_angle_alpha 90.00
_cell_angle_beta 90.00
_cell_angle_gamma 90.00
loop_
_atom_site_label
_atom_site_type_symbol
_atom_site_fract_x
_atom_site_fract_y
_atom_site_fract_z
Pu1 Pu 0.000 0.000 0.000
Mn1 Mn 0.250 0.250 0.250
Al1 Al 0.000 0.224 0.500
Al2 Al 0.000 0.336 0.000
```